# 1
This record from the Alexandria database describes crystalline Sm2MnSi4Ir3 at its relaxed geometry. The functional is PBE.

a b c (Å): 4.1267 4.1267 10.0645
angles (deg): 90.00 90.00 90.00
Fractional positions:
Sm: 0.0000 0.5000 0.2466
Sm: 0.5000 0.0000 0.7534
Mn: 0.0000 0.0000 0.5000
Si: 0.0000 0.0000 0.0000
Si: 0.0000 0.5000 0.6324
Si: 0.5000 0.0000 0.3676
Si: 0.5000 0.5000 0.0000
Ir: 0.0000 0.5000 0.8740
Ir: 0.5000 0.0000 0.1260
Ir: 0.5000 0.5000 0.5000

Summary:
The magnetization comes out at 2.40 μB/f.u. The value obtained for the uncorrected formation energy is -0.90 eV per atom. Its uncorrected energy is -7.593 eV per atom. The density of states at the Fermi level comes out at 0.7026 states/eV/atom.

=====

# 2
This record from the Alexandria database describes crystalline SmMnSi3Ir at its relaxed geometry. The functional is PBE.

a b c (Å): 6.6062 6.6062 5.4743
angles (deg): 90.00 90.00 112.18
Fractional positions:
Sm: 0.2436 0.7564 0.7500
Sm: 0.7564 0.2436 0.2500
Mn: 0.0464 0.9536 0.2500
Mn: 0.9536 0.0464 0.7500
Si: 0.2384 0.7616 0.2500
Si: 0.2401 0.2401 0.0000
Si: 0.2401 0.2401 0.5000
Si: 0.7599 0.7599 0.0000
Si: 0.7599 0.7599 0.5000
Si: 0.7616 0.2384 0.7500
Ir: 0.4411 0.5589 0.2500
Ir: 0.5589 0.4411 0.7500

Summary:
The magnetization comes out at 0.00 μB/f.u. The value obtained for the uncorrected formation energy is -0.41 eV per atom. Its uncorrected energy is -6.910 eV per atom. The density of states at the Fermi level comes out at 0.4991 states/eV/atom.

=====

# 3
This record from the Alexandria database describes crystalline Tb2MnSi4Ir3 at its relaxed geometry. The functional is PBE.

a b c (Å): 4.0818 4.0818 10.0888
angles (deg): 90.00 90.00 90.00
Fractional positions:
Tb: 0.0000 0.5000 0.2478
Tb: 0.5000 0.0000 0.7522
Mn: 0.0000 0.0000 0.5000
Si: 0.0000 0.0000 0.0000
Si: 0.0000 0.5000 0.6334
Si: 0.5000 0.0000 0.3666
Si: 0.5000 0.5000 0.0000
Ir: 0.0000 0.5000 0.8721
Ir: 0.5000 0.0000 0.1279
Ir: 0.5000 0.5000 0.5000

Summary:
The magnetization comes out at 2.39 μB/f.u. The value obtained for the uncorrected formation energy is -0.92 eV per atom. Its uncorrected energy is -7.590 eV per atom. The density of states at the Fermi level comes out at 0.6674 states/eV/atom.

=====

# 4
This record from the Alexandria database describes crystalline MnSiTcIr at its relaxed geometry. The functional is PBE.

a b c (Å): 4.2195 4.2195 4.2195
angles (deg): 60.00 60.00 60.00
Fractional positions:
Mn: 0.0000 0.0000 0.0000
Si: 0.5000 0.5000 0.5000
Tc: 0.2500 0.2500 0.2500
Ir: 0.7500 0.7500 0.7500

Summary:
The magnetization comes out at 3.03 μB/f.u. The value obtained for the uncorrected formation energy is -0.44 eV per atom. Its uncorrected energy is -8.899 eV per atom. The density of states at the Fermi level comes out at 0.5144 states/eV/atom.

=====

# 5
This record from the Alexandria database describes crystalline ThMnSi2Ir5 at its relaxed geometry. The functional is PBE.

a b c (Å): 3.9910 3.9910 10.3608
angles (deg): 90.00 90.00 90.00
Fractional positions:
Th: 0.0000 0.0000 0.0000
Mn: 0.0000 0.0000 0.5000
Si: 0.5000 0.5000 0.2288
Si: 0.5000 0.5000 0.7712
Ir: 0.0000 0.5000 0.3510
Ir: 0.0000 0.5000 0.6490
Ir: 0.5000 0.0000 0.3510
Ir: 0.5000 0.0000 0.6490
Ir: 0.5000 0.5000 0.0000

Summary:
The magnetization comes out at 2.47 μB/f.u. The value obtained for the uncorrected formation energy is -0.41 eV per atom. Its uncorrected energy is -8.383 eV per atom. The density of states at the Fermi level comes out at 0.4725 states/eV/atom.

=====

# 6
This record from the Alexandria database describes crystalline ThMnSi3Ir at its relaxed geometry. The functional is PBE.

a b c (Å): 6.8174 6.8174 5.8691
angles (deg): 90.00 90.00 126.20
Fractional positions:
Th: 0.2119 0.7881 0.7500
Th: 0.7881 0.2119 0.2500
Mn: 0.0236 0.9764 0.2500
Mn: 0.9764 0.0236 0.7500
Si: 0.2002 0.7998 0.2500
Si: 0.2869 0.2869 0.0000
Si: 0.2869 0.2869 0.5000
Si: 0.7131 0.7131 0.0000
Si: 0.7131 0.7131 0.5000
Si: 0.7998 0.2002 0.7500
Ir: 0.3860 0.6140 0.2500
Ir: 0.6140 0.3860 0.7500

Summary:
The magnetization comes out at 0.00 μB/f.u. The value obtained for the uncorrected formation energy is -0.42 eV per atom. Its uncorrected energy is -7.371 eV per atom. The density of states at the Fermi level comes out at 0.6104 states/eV/atom.